Record 1
## BeAlPb (PBE)

Data for a relaxed BeAlPb crystal. Values from VASP.

Calculated values
E_tot = -9.6 eV/cell

The structure in Quantum ESPRESSO input format:
```
&SYSTEM
  ibrav = 0, nat = 3, ntyp = 3
/
ATOMIC_SPECIES
Be 9.01 Be.upf
Al 26.98 Al.upf
Pb 207.20 Pb.upf
CELL_PARAMETERS angstrom
3.3453 0.0000 0.0000
-1.6727 2.8971 0.0000
0.0000 0.0000 6.2258
ATOMIC_POSITIONS crystal
Be 0.0000 0.0000 0.0000
Al 0.6667 0.3333 0.7465
Pb 0.3333 0.6667 0.3329
```

***

Record 2
## Be2AlPb (PBE)

Data for a relaxed Be2AlPb crystal. Values from VASP.

Calculated values
E_tot = -13.8 eV/cell

The structure in Quantum ESPRESSO input format:
```
&SYSTEM
  ibrav = 0, nat = 4, ntyp = 3
/
ATOMIC_SPECIES
Be 9.01 Be.upf
Al 26.98 Al.upf
Pb 207.20 Pb.upf
CELL_PARAMETERS angstrom
3.2651 -1.8894 0.0000
3.2651 1.8894 0.0000
-2.3716 0.0000 5.6647
ATOMIC_POSITIONS crystal
Be 0.0000 0.0000 0.0000
Be 0.6668 0.6668 0.0026
Al 0.4003 0.4003 0.1861
Pb 0.2019 0.2019 0.6331
```

***

Record 3
## Be2AlPb (PBE)

Data for a relaxed Be2AlPb crystal. Values from VASP.

Calculated values
E_tot = -12.1 eV/cell

The structure in Quantum ESPRESSO input format:
```
&SYSTEM
  ibrav = 0, nat = 4, ntyp = 3
/
ATOMIC_SPECIES
Be 9.01 Be.upf
Al 26.98 Al.upf
Pb 207.20 Pb.upf
CELL_PARAMETERS angstrom
-1.9383 1.9383 4.4114
1.9383 -1.9383 4.4114
1.9383 1.9383 -4.4114
ATOMIC_POSITIONS crystal
Be 0.0000 0.0000 0.0000
Be 0.7500 0.2500 0.5000
Al 0.5000 0.5000 0.0000
Pb 0.2500 0.7500 0.5000
```

***

Record 4
## Be2AlPb (PBE)

Data for a relaxed Be2AlPb crystal. Values from VASP.

Calculated values
E_tot = -11.4 eV/cell

The structure in Quantum ESPRESSO input format:
```
&SYSTEM
  ibrav = 0, nat = 4, ntyp = 3
/
ATOMIC_SPECIES
Be 9.01 Be.upf
Al 26.98 Al.upf
Pb 207.20 Pb.upf
CELL_PARAMETERS angstrom
0.0000 3.2685 3.2685
3.2685 0.0000 3.2685
3.2685 3.2685 0.0000
ATOMIC_POSITIONS crystal
Be 0.0000 0.0000 0.0000
Be 0.2500 0.2500 0.2500
Al 0.7500 0.7500 0.7500
Pb 0.5000 0.5000 0.5000
```

***

no.,energy above the most stable polymorph in this dataset (meV/atom),ΔE_f (eV/atom)
1,377,0.514
2,0,0.276
3,430,0.705
4,589,0.864